K2CuMoF6 | PBE with a Hubbard U | relaxed

Calculated values
Density (g/cm³): 3.64
Total energy (eV/atom): -4.815
Magnetic moment (μB per atom): 0.305

Lattice parameters (Å, degrees): 6.0214 6.0257 8.8543 90.00 90.00 90.00
Closest atoms and distances in Å follow each position.
Sites, in units of the cell vectors:
K1 0.0000 0.2501 0.7502  12 F 3.01-3.08
F1 0.2466 0.9974 0.0000  1 Mo 2.10, 1 Cu 2.16
Cu1 0.0000 0.7496 0.5000  6 F 2.16-2.33
F2 0.2530 0.4958 0.5000  1 Mo 2.10, 1 Cu 2.16
F3 0.0000 0.7505 0.7632  1 Mo 2.10, 1 Cu 2.33
K2 0.5000 0.7499 0.2502  12 F 3.01-3.08
Mo1 0.5000 0.2494 0.5000  6 F 2.10
F4 0.7470 0.4958 0.5000  1 Mo 2.10, 1 Cu 2.16
F5 0.5000 0.2495 0.7368  1 Mo 2.10, 1 Cu 2.33
F6 0.7534 0.9974 0.0000  1 Mo 2.10, 1 Cu 2.16
F7 0.0000 0.7505 0.2368  1 Mo 2.10, 1 Cu 2.33
K3 0.0000 0.2501 0.2498  12 F 3.01-3.08
F8 0.2470 0.5042 0.0000  1 Mo 2.10, 1 Cu 2.16
F9 0.7530 0.5042 0.0000  1 Mo 2.10, 1 Cu 2.16
F10 0.2534 0.0026 0.5000  1 Mo 2.10, 1 Cu 2.16
K4 0.5000 0.7499 0.7498  12 F 3.01-3.08
Cu2 0.5000 0.2504 0.0000  6 F 2.16-2.33
Mo2 0.0000 0.7506 0.0000  6 F 2.10
F11 0.5000 0.2495 0.2632  1 Mo 2.10, 1 Cu 2.33
F12 0.7466 0.0026 0.5000  1 Mo 2.10, 1 Cu 2.16